Entry 1:
CdIn3Ge | GGA-PBEsol | relaxed

## Properties
- DOS(E_F) (states/eV per cell) = 3.5
- spin magnetization (μB/f.u.) = 0.00
- formation enthalpy at 0 K (meV/atom) = 638
- raw total energy (eV per atom) = -2.379
- SG = Pm-3m

a = 5.3277 Å, b = 5.3277 Å, c = 5.3277 Å
α = 90.00°, β = 90.00°, γ = 90.00°
Fractional positions:
Ge (0.5000, 0.5000, 0.5000)
In (0.5000, 0.0000, 0.0000)
In (0.0000, 0.5000, 0.0000)
In (0.0000, 0.0000, 0.5000)
Cd (0.0000, 0.0000, 0.0000)

Entry 2:
FeTe2Ir | GGA-PBEsol | relaxed

## Properties
- ΔE to the lowest computed polymorph (meV/atom) = 99
- DOS(E_F) (states/eV per cell) = 3.3
- spin magnetization (μB/f.u.) = 2.41
- raw total energy (eV per atom) = -6.303
- SG = P4mm

a = 3.4527 Å, b = 3.4527 Å, c = 6.9220 Å
α = 90.00°, β = 90.00°, γ = 90.00°
Last column: magnetic moment on the atom in μB.
Fractional positions:
Fe (0.0000, 0.0000, 0.5299)  2.35
Ir (0.5000, 0.5000, 0.7231)  0.05
Te (0.0000, 0.0000, 0.8960)  -0.02
Te (0.5000, 0.5000, 0.3510)  -0.03